[1]
DFT (PBE) results for CsCuI2O8 after structural relaxation.

Values from the calculation:
The raw formation energy is -421.1 meV per atom. As for the uncorrected energy: -52.8 eV per cell.

Cell: 9.6984 9.6984 9.6984 Å, 33.00 33.00 33.00°
Closest atoms and distances in Å follow each position.
Positions (direct):
Cs 0.0000 0.0000 0.0000  6 O 3.33
Cu 0.5000 0.5000 0.5000  6 O 2.08
I 0.2308 0.2308 0.2308  4 O 1.82-1.84
I 0.7692 0.7692 0.7692  4 O 1.82-1.84
O 0.1306 0.7354 0.5003  1 I 1.84
O 0.2646 0.4997 0.8694  1 I 1.84
O 0.2970 0.2970 0.2970  1 I 1.82
O 0.5003 0.1306 0.7354  1 I 1.84
O 0.4997 0.8694 0.2646  1 I 1.84
O 0.7030 0.7030 0.7030  1 I 1.82
O 0.7354 0.5003 0.1306  1 I 1.84
O 0.8694 0.2646 0.4997  1 I 1.84

[2]
DFT (PBE) results for TbBeGe after structural relaxation.

Values from the calculation:
Its formation energy is -591 meV/atom. As for the uncorrected energy: -59.0 eV per cell.

Cell: 3.9333 6.8795 8.1460 Å, 90.00 90.00 90.00°
Closest atoms and distances in Å follow each position.
Positions (direct):
Tb 0.0000 0.0000 0.2445  6 Ge 3.00-3.08, 6 Be 3.05-3.11
Tb 0.0000 0.0000 0.7555  6 Ge 3.00-3.08, 6 Be 3.05-3.11
Tb 0.5000 0.5000 0.2555  6 Ge 3.00-3.08, 6 Be 3.05-3.11
Tb 0.5000 0.5000 0.7445  6 Ge 3.00-3.08, 6 Be 3.05-3.11
Be 0.0000 0.3467 0.0000  1 Be 2.11, 2 Ge 2.26
Be 0.0000 0.6533 0.0000  1 Be 2.11, 2 Ge 2.26
Be 0.5000 0.1533 0.5000  1 Be 2.11, 2 Ge 2.26
Be 0.5000 0.8467 0.5000  1 Be 2.11, 2 Ge 2.26
Ge 0.0000 0.3148 0.5000  2 Be 2.26
Ge 0.0000 0.6852 0.5000  2 Be 2.26
Ge 0.5000 0.1852 0.0000  2 Be 2.26
Ge 0.5000 0.8148 0.0000  2 Be 2.26

[3]
DFT (PBE) results for Al4ZnAg2 after structural relaxation.

Values from the calculation:
Its formation energy is 291 meV/atom. As for the uncorrected energy: -19.9 eV per cell.

Cell: 10.6528 10.6528 10.6528 Å, 22.69 22.69 22.69°
Closest atoms and distances in Å follow each position.
Positions (direct):
Al 0.1408 0.1408 0.1408  4 Ag 2.64-2.67, 3 Al 2.91
Al 0.3090 0.3090 0.3090  3 Zn 2.54, 1 Ag 2.56
Al 0.6910 0.6910 0.6910  3 Zn 2.54, 1 Ag 2.56
Al 0.8592 0.8592 0.8592  4 Ag 2.64-2.67, 3 Al 2.91
Zn 0.0000 0.0000 0.0000  6 Al 2.54
Ag 0.2266 0.2266 0.2266  5 Al 2.56-2.67
Ag 0.7734 0.7734 0.7734  5 Al 2.56-2.67

no.,Fermi-level density of states (states/eV per cell)
1,3.467
2,4.683
3,2.868